The following is a SCAN calculation of YBe2Co at its PBEsol-relaxed geometry, from Alexandria.

Calculated values
formation enthalpy at 0 K: -0.13 eV/atom
M_tot: 0.0 μB/cell
offset from the most stable computed form: 27.7 meV per atom

Structure (POSCAR):
```
YBe2Co
1.0
1.864 1.076 4.695
-1.864 1.076 4.695
0.000 -2.152 4.695
Y Be Co
1 2 1
Direct
0.000 0.000 0.000
0.505 0.505 0.505
0.812 0.812 0.812
0.194 0.194 0.194
```